SrLa2Ir2 | the Alexandria database | PBE | optimized geometry; electronic total energy = -6.339 eV per atom; energy of formation from the pure elements = -0.4876 eV per atom; ΔE to the lowest computed polymorph = 0 meV/atom; size of the total moment = 0.000 μB/f.u.; space group = P4/mbm, No. 127; V = 26.5 A^3/atom
1.0
8.2160 0.0000 0.0000
0.0000 8.2160 0.0000
0.0000 0.0000 3.9221
Sr La Ir
2 4 4
Direct
0.0000 0.0000 0.0000
0.5000 0.5000 0.0000
0.1514 0.3486 0.5000
0.3486 0.8486 0.5000
0.6514 0.1514 0.5000
0.8486 0.6514 0.5000
0.1381 0.6381 0.0000
0.3619 0.1381 0.0000
0.6381 0.8619 0.0000
0.8619 0.3619 0.0000